1.
An optimized crystal structure of BaC. Source: Alexandria, functional PBE.

Cell lengths 3.5736, 3.5736, 3.5736 Å; angles 90.00, 90.00, 90.00 degrees
Last column: magnetic moment on the atom in μB.
Fractional positions:
C 0.5000 0.5000 0.5000  0.32
Ba 0.0000 0.0000 0.0000  0.04

Values from the calculation:
As for the space group: Pm-3m. For the volume, the calculation gives 46 Å³/cell. The calculation puts the density of states at the Fermi level at 1.108 states/eV/atom. As for the total magnetic moment: 0.356 μB per atom. The excess energy over the best structure of this formula in the dataset comes out at 1.449 eV/atom. The formation energy is 1.5278 eV per atom.

2.
An optimized crystal structure of BaC. Source: Alexandria, functional PBE.

Cell lengths 9.2077, 7.7096, 7.4368 Å; angles 90.00, 90.00, 90.00 degrees
Fractional positions:
Ba 0.8759 0.5574 0.6906
Ba 0.3759 0.9426 0.3094
Ba 0.1241 0.0574 0.8094
Ba 0.6241 0.4426 0.1906
Ba 0.1263 0.5035 0.2246
Ba 0.6263 0.9965 0.7754
Ba 0.8737 0.0035 0.2754
Ba 0.3737 0.4965 0.7246
C 0.5755 0.6718 0.5011
C 0.0755 0.8282 0.4989
C 0.4245 0.1718 0.9989
C 0.9245 0.3282 0.0011
C 0.3283 0.2785 0.0550
C 0.8284 0.2215 0.9450
C 0.6716 0.7785 0.4450
C 0.1716 0.7215 0.5550

Values from the calculation:
As for the space group: P2_12_12_1. For the volume, the calculation gives 528 Å³/cell. The calculation puts the density of states at the Fermi level at 0.776 states/eV/atom. As for the total magnetic moment: 0.000 μB per atom. The excess energy over the best structure of this formula in the dataset comes out at 0.057 eV/atom. The formation energy is 0.1356 eV per atom.

3.
An optimized crystal structure of BaC2. Source: Alexandria, functional PBE.

Cell lengths 4.6021, 4.6021, 6.9819 Å; angles 90.00, 90.00, 120.00 degrees
Last column: magnetic moment on the atom in μB.
Fractional positions:
C 0.6667 0.3333 0.8109  1.22
C 0.3333 0.6667 0.1891  1.22
Ba 0.0000 0.0000 0.0000  0.29

Values from the calculation:
As for the space group: P-3m1. For the volume, the calculation gives 128 Å³/cell. The calculation puts the density of states at the Fermi level at 0.033 states/eV/atom. As for the total magnetic moment: 2.000 μB per atom. The formation energy is 3.1460 eV per atom.

4.
An optimized crystal structure of BaC2. Source: Alexandria, functional PBE.

Cell lengths 8.3525, 2.8027, 3.8892 Å; angles 90.00, 90.00, 90.00 degrees
Fractional positions:
C 0.2809 0.0000 0.5000
C 0.7191 0.0000 0.5000
C 0.7809 0.5000 0.5000
C 0.2191 0.5000 0.5000
Ba 0.0000 0.0000 0.0000
Ba 0.5000 0.5000 0.0000

Values from the calculation:
As for the space group: Cmmm. For the volume, the calculation gives 91 Å³/cell. The calculation puts the density of states at the Fermi level at 0.237 states/eV/atom. As for the total magnetic moment: 0.000 μB per atom. The formation energy is 0.6619 eV per atom.

- The highest volume belongs to which entry?
  number 2